The following is a PBE+U calculation of a relaxed structure of NaMg30CoO32, from Alexandria.

Output
crystal system: tetragonal
space-group type: P4/mmm (123)
total energy: -0.4355 Ry/atom

a b c (Å): 8.5184 8.5349 8.5349
angles (deg): 90.00 90.00 90.00
Fractional positions:
Na (0.0000, 0.5000, 0.5000)
Mg (0.0000, 0.5000, 0.0000)
Mg (0.0000, 0.0000, 0.5000)
Mg (0.5000, 0.0000, 0.0000)
Mg (0.5000, 0.5000, 0.0000)
Mg (0.5000, 0.0000, 0.5000)
Mg (0.5000, 0.5000, 0.5000)
Mg (0.0000, 0.2529, 0.2529)
Mg (0.0000, 0.7471, 0.2529)
Mg (0.0000, 0.2529, 0.7471)
Mg (0.0000, 0.7471, 0.7471)
Mg (0.5000, 0.2510, 0.2510)
Mg (0.5000, 0.7490, 0.2510)
Mg (0.5000, 0.2510, 0.7490)
Mg (0.5000, 0.7490, 0.7490)
Mg (0.2502, 0.2531, 0.0000)
Mg (0.2502, 0.7469, 0.0000)
Mg (0.2489, 0.2523, 0.5000)
Mg (0.2489, 0.7477, 0.5000)
Mg (0.7498, 0.2531, 0.0000)
Mg (0.7498, 0.7469, 0.0000)
Mg (0.7511, 0.2523, 0.5000)
Mg (0.7511, 0.7477, 0.5000)
Mg (0.2502, 0.0000, 0.2531)
Mg (0.2489, 0.5000, 0.2523)
Mg (0.2502, 0.0000, 0.7469)
Mg (0.2489, 0.5000, 0.7477)
Mg (0.7498, 0.0000, 0.2531)
Mg (0.7511, 0.5000, 0.2523)
Mg (0.7498, 0.0000, 0.7469)
Mg (0.7511, 0.5000, 0.7477)
Co (0.0000, 0.0000, 0.0000)
O (0.2385, 0.0000, 0.0000)
O (0.2513, 0.5000, 0.0000)
O (0.2513, 0.0000, 0.5000)
O (0.2629, 0.5000, 0.5000)
O (0.7615, 0.0000, 0.0000)
O (0.7487, 0.5000, 0.0000)
O (0.7487, 0.0000, 0.5000)
O (0.7371, 0.5000, 0.5000)
O (0.2497, 0.2487, 0.2487)
O (0.2497, 0.7513, 0.2487)
O (0.2497, 0.2487, 0.7513)
O (0.2497, 0.7513, 0.7513)
O (0.7503, 0.2487, 0.2487)
O (0.7503, 0.7513, 0.2487)
O (0.7503, 0.2487, 0.7513)
O (0.7503, 0.7513, 0.7513)
O (0.0000, 0.2427, 0.0000)
O (0.0000, 0.7573, 0.0000)
O (0.0000, 0.2356, 0.5000)
O (0.0000, 0.7644, 0.5000)
O (0.5000, 0.2460, 0.0000)
O (0.5000, 0.7540, 0.0000)
O (0.5000, 0.2465, 0.5000)
O (0.5000, 0.7535, 0.5000)
O (0.0000, 0.0000, 0.2427)
O (0.0000, 0.5000, 0.2356)
O (0.0000, 0.0000, 0.7573)
O (0.0000, 0.5000, 0.7644)
O (0.5000, 0.0000, 0.2460)
O (0.5000, 0.5000, 0.2465)
O (0.5000, 0.0000, 0.7540)
O (0.5000, 0.5000, 0.7535)